YOs2Se: optimized geometry, GGA-PBEsol.

Summary:
raw formation energy: 0.03 eV/atom
Fermi-level density of states: 0.74 states/eV per atom
density: 12.69 g/cm³
crystal system: monoclinic

abc: 5.1350 5.1350 5.1044
angles: 109.35 109.35 34.64
With the nearest neighbours (Å) after each atom.
Atoms (fractional coordinates):
Y  0.0000  0.0000  0.0000  7 Os 2.87-3.15, 3 Se 2.94-3.07, 2 Y 3.06
Os  0.4965  0.4965  0.4745  2 Se 2.57, 2 Os 2.58, 2 Y 2.87
Os  0.7725  0.7725  0.3877  2 Se 2.48, 2 Os 2.58
Se  0.2146  0.2146  0.7166  4 Os 2.48-2.57

***

YOsSe2: optimized geometry, GGA-PBEsol.

Summary:
raw formation energy: -0.51 eV/atom
Fermi-level density of states: 0.46 states/eV per atom
density: 10.36 g/cm³
E above lowest polymorph: 0.0 kJ/mol of formula units
crystal system: tetragonal

abc: 4.5957 4.5957 3.3153
angles: 90.00 90.00 90.00
With the nearest neighbours (Å) after each atom.
Atoms (fractional coordinates):
Y  0.0000  0.0000  0.0000  8 Se 2.83
Os  0.5000  0.5000  0.0000  8 Se 2.83
Se  0.0000  0.5000  0.5000  4 Os 2.83, 4 Y 2.83
Se  0.5000  0.0000  0.5000  4 Os 2.83, 4 Y 2.83

***

YOs2Se: optimized geometry, GGA-PBEsol.

Summary:
raw formation energy: 0.18 eV/atom
Fermi-level density of states: 1.09 states/eV per atom
density: 13.53 g/cm³
crystal system: orthorhombic

abc: 3.0483 4.5855 4.8148
angles: 90.00 90.00 90.00
With the nearest neighbours (Å) after each atom.
Atoms (fractional coordinates):
Y  0.0000  0.0000  0.0000  4 Se 2.75, 4 Os 2.85, 2 Y 3.05
Os  0.0000  0.5000  0.5000  6 Os 2.75-3.05, 4 Se 2.85
Os  0.5000  0.0000  0.5000  6 Os 2.75-3.05, 4 Y 2.85
Se  0.5000  0.5000  0.0000  4 Y 2.75, 4 Os 2.85, 2 Se 3.05

***

YOs2Se: optimized geometry, GGA-PBEsol.

Summary:
raw formation energy: -0.02 eV/atom
Fermi-level density of states: 0.83 states/eV per atom
density: 12.61 g/cm³
crystal system: orthorhombic

abc: 3.5630 6.9804 6.9804
angles: 24.58 90.00 90.00
With the nearest neighbours (Å) after each atom.
Atoms (fractional coordinates):
Y  0.0000  0.0000  0.0000  4 Se 2.90, 2 Y 2.97, 5 Os 3.11-3.18
Os  0.0000  0.7668  0.7668  4 Os 2.57, 2 Se 2.61
Os  0.5000  0.3482  0.3482  4 Os 2.57
Se  0.5000  0.6272  0.6272  2 Os 2.61, 4 Y 2.90

***

ZnOsSe: optimized geometry, GGA-PBEsol.

Summary:
raw formation energy: 0.49 eV/atom
Fermi-level density of states: 0.90 states/eV per atom
density: 12.00 g/cm³
crystal system: hexagonal

abc: 4.2223 4.2223 2.9989
angles: 90.00 90.00 120.00
With the nearest neighbours (Å) after each atom.
Atoms (fractional coordinates):
Zn  0.0000  0.0000  0.0000  6 Se 2.86, 6 Os 2.86, 2 Zn 3.00
Os  0.6667  0.3333  0.5000  3 Se 2.44
Se  0.3333  0.6667  0.5000  3 Os 2.44

***

ZrOs3Se: optimized geometry, GGA-PBEsol.

Summary:
raw formation energy: 2.74 eV/atom
Fermi-level density of states: 1.84 states/eV per atom
density: 11.41 g/cm³
crystal system: cubic

abc: 4.7595 4.7595 4.7595
angles: 90.00 90.00 90.00
With the nearest neighbours (Å) after each atom.
Atoms (fractional coordinates):
Zr  0.0000  0.0000  0.0000  6 Os 2.38
Os  0.0000  0.0000  0.5000  2 Zr 2.38
Os  0.0000  0.5000  0.0000  2 Zr 2.38
Os  0.5000  0.0000  0.0000  2 Zr 2.38
Se  0.5000  0.5000  0.5000  12 Os 3.37

***

Zr2OsSe: optimized geometry, GGA-PBEsol.

Summary:
raw formation energy: -0.42 eV/atom
Fermi-level density of states: 0.65 states/eV per atom
density: 10.26 g/cm³
crystal system: orthorhombic

abc: 4.8500 4.8500 4.8500
angles: 131.25 117.65 82.91
With the nearest neighbours (Å) after each atom.
Atoms (fractional coordinates):
Zr  0.2477  0.2477  0.0000  2 Os 2.69, 2 Se 2.71
Zr  0.7523  0.7523  0.0000  2 Os 2.69, 2 Se 2.71
Os  0.0000  0.5000  0.5000  4 Zr 2.69
Se  0.5000  0.0000  0.5000  4 Zr 2.71

***

Zr2OsSe: optimized geometry, GGA-PBEsol.

Summary:
raw formation energy: -0.57 eV/atom
Fermi-level density of states: 0.65 states/eV per atom
density: 10.58 g/cm³
crystal system: orthorhombic

abc: 4.7262 4.7262 3.2477
angles: 90.00 90.00 102.28
With the nearest neighbours (Å) after each atom.
Atoms (fractional coordinates):
Zr  0.0000  0.5000  0.0000  4 Se 2.87, 4 Os 2.87, 2 Zr 2.97
Zr  0.5000  0.0000  0.0000  4 Se 2.87, 4 Os 2.87, 2 Zr 2.97
Os  0.0000  0.0000  0.5000  8 Zr 2.87, 2 Se 2.97
Se  0.5000  0.5000  0.5000  8 Zr 2.87, 2 Os 2.97

***

SiOs2: optimized geometry, GGA-PBEsol.

Summary:
raw formation energy: -0.24 eV/atom
Fermi-level density of states: 0.43 states/eV per atom
density: 17.08 g/cm³
crystal system: monoclinic

abc: 5.2791 5.2791 5.6681
angles: 104.12 104.12 31.32
With the nearest neighbours (Å) after each atom.
Atoms (fractional coordinates):
Si  0.1467  0.1467  0.0446  7 Os 2.40-2.63
Si  0.8533  0.8533  0.9554  7 Os 2.40-2.63
Os  0.1895  0.1895  0.6474  3 Si 2.40-2.53
Os  0.4691  0.4691  0.7236  4 Si 2.43-2.63, 2 Os 2.71
Os  0.5309  0.5309  0.2764  4 Si 2.43-2.63, 2 Os 2.71
Os  0.8105  0.8105  0.3526  3 Si 2.40-2.53

***

SiOs: optimized geometry, GGA-PBEsol.

Summary:
raw formation energy: -0.43 eV/atom
Fermi-level density of states: 0.18 states/eV per atom
density: 14.35 g/cm³
crystal system: cubic

abc: 2.9343 2.9343 2.9343
angles: 90.00 90.00 90.00
With the nearest neighbours (Å) after each atom.
Atoms (fractional coordinates):
Si  0.0000  0.0000  0.0000  8 Os 2.54
Os  0.5000  0.5000  0.5000  8 Si 2.54

***

Si3Os: optimized geometry, GGA-PBEsol.

Summary:
raw formation energy: 0.16 eV/atom
Fermi-level density of states: 0.40 states/eV per atom
density: 8.56 g/cm³
crystal system: tetragonal

abc: 4.2178 4.2178 4.2178
angles: 119.77 119.77 90.40
With the nearest neighbours (Å) after each atom.
Atoms (fractional coordinates):
Si  0.0000  0.0000  0.0000  8 Si 2.59
Si  0.2500  0.7500  0.5000  4 Os 2.59, 4 Si 2.59
Si  0.7500  0.2500  0.5000  4 Os 2.59, 4 Si 2.59
Os  0.5000  0.5000  0.0000  8 Si 2.59

***

SiOs: optimized geometry, GGA-PBEsol.

Summary:
raw formation energy: -0.25 eV/atom
Fermi-level density of states: 0.37 states/eV per atom
density: 13.55 g/cm³
crystal system: hexagonal

abc: 2.9040 2.9040 3.6637
angles: 90.00 90.00 120.00
With the nearest neighbours (Å) after each atom.
Atoms (fractional coordinates):
Si  0.0000  0.0000  0.0000  6 Os 2.48
Os  0.6667  0.3333  0.5000  6 Si 2.48